## YHg2P (PBE)

Data for a relaxed structure of YHg2P.

abc: 8.246 8.246 5.570
angles: 90.00 90.00 90.00
Space group I-42d (No. 122)
One atom of each set of equivalent atoms:
Y: 0.000 0.000 0.000 (multiplicity 4)
Hg: 0.207 0.250 0.625 (multiplicity 8)
P: 0.000 0.000 0.500 (multiplicity 4)

- Total energy: -3.48 eV/atom

## PmPuAlAu (PBE)

Data for a relaxed structure of PmPuAlAu.

abc: 7.365 7.365 7.365
angles: 90.00 90.00 90.00
Space group F-43m (No. 216)
One atom of each set of equivalent atoms:
Pm: 0.000 0.000 0.000 (multiplicity 4)
Pu: 0.000 0.000 0.500 (multiplicity 4)
Al: 0.250 0.250 0.750 (multiplicity 4)
Au: 0.250 0.250 0.250 (multiplicity 4)

- Total energy: -6.84 eV/atom

## RhW2Cl (PBE)

Data for a relaxed structure of RhW2Cl.

abc: 2.8733 2.8733 28.1078
angles: 90.00 90.00 120.00
Space group R3m (No. 160, hexagonal axes)
One atom of each set of equivalent atoms:
Rh: 0.0000 0.0000 0.0000 (multiplicity 3)
W: 0.0000 0.0000 0.2603 (multiplicity 3)
W: 0.0000 0.0000 0.5072 (multiplicity 3)
Cl: 0.0000 0.0000 0.7744 (multiplicity 3)

- Total energy: -8.59 eV/atom
- Energy above the lowest structure with this stoichiometry: 0 meV/atom
- Energy relative to the elements, uncorrected: 0.181 eV/atom

## Na2NiSbPd (PBE)

Data for a relaxed structure of Na2NiSbPd.

abc: 5.728 5.728 4.636
angles: 90.00 90.00 90.00
Space group P4/mmm (No. 123)
One atom of each set of equivalent atoms:
Na: 0.000 0.500 0.000 (multiplicity 2)
Ni: 0.000 0.000 0.500 (multiplicity 1)
Sb: 0.000 0.000 0.000 (multiplicity 1)
Pd: 0.500 0.500 0.500 (multiplicity 1)

- Total energy: -3.03 eV/atom
- Energy relative to the elements, uncorrected: 0.521 eV/atom

## TmRePb2O6 (PBE)

Data for a relaxed structure of TmRePb2O6.

abc: 5.836 8.325 6.021
angles: 90.00 90.00 90.00
Space group Pmmn (No. 59, origin choice 2)
One atom of each set of equivalent atoms:
Tm: 0.250 0.250 0.224 (multiplicity 2)
Re: 0.250 0.750 0.254 (multiplicity 2)
Pb: 0.250 0.028 0.700 (multiplicity 4)
O: 0.001 0.250 0.514 (multiplicity 4)
O: 0.007 0.750 0.036 (multiplicity 4)
O: 0.250 0.513 0.279 (multiplicity 4)

- Total energy: -7.25 eV/atom
- Energy relative to the elements, uncorrected: -1.841 eV/atom

## NiAgP (PBE)

Data for a relaxed structure of NiAgP.

abc: 2.994 2.994 9.711
angles: 90.00 90.00 90.00
Space group I4mm (No. 107)
One atom of each set of equivalent atoms:
Ni: 0.000 0.000 0.000 (multiplicity 2)
Ag: 0.000 0.000 0.301 (multiplicity 2)
P: 0.000 0.000 0.591 (multiplicity 2)

- Total energy: -4.72 eV/atom
- Energy above the lowest structure with this stoichiometry: 87 meV/atom

## Ba2DyAlTe5 (PBE)

Data for a relaxed structure of Ba2DyAlTe5.

abc: 4.502 20.546 14.322
angles: 90.00 90.00 90.00
Space group Cmc2_1 (No. 36)
One atom of each set of equivalent atoms:
Ba: 0.000 0.122 0.000 (multiplicity 4)
Ba: 0.000 0.125 0.638 (multiplicity 4)
Dy: 0.000 0.205 0.340 (multiplicity 4)
Al: 0.000 0.436 0.742 (multiplicity 4)
Te: 0.000 0.047 0.348 (multiplicity 4)
Te: 0.000 0.296 0.984 (multiplicity 4)
Te: 0.000 0.312 0.686 (multiplicity 4)
Te: 0.000 0.351 0.320 (multiplicity 4)
Te: 0.000 0.499 0.585 (multiplicity 4)

- Total energy: -4.44 eV/atom
- Energy relative to the elements, uncorrected: -1.338 eV/atom

## Sr3InAg6Sn2 (PBE)

Data for a relaxed structure of Sr3InAg6Sn2.

abc: 6.1149 6.1149 10.1862
angles: 90.00 90.00 120.00
Space group P-3m1 (No. 164)
One atom of each set of equivalent atoms:
Sr: 0.0000 0.0000 0.0000 (multiplicity 1)
Sr: 0.3333 0.6667 0.5984 (multiplicity 2)
In: 0.0000 0.0000 0.5000 (multiplicity 1)
Ag: 0.1690 0.3380 0.2822 (multiplicity 6)
Sn: 0.3333 0.6667 0.0608 (multiplicity 2)

- Total energy: -2.95 eV/atom

## Th2GaSb (PBE)

Data for a relaxed structure of Th2GaSb.

abc: 3.697 3.697 7.974
angles: 90.00 90.00 90.00
Space group P4/mmm (No. 123)
One atom of each set of equivalent atoms:
Th: 0.000 0.000 0.250 (multiplicity 2)
Ga: 0.500 0.500 0.000 (multiplicity 1)
Sb: 0.500 0.500 0.500 (multiplicity 1)

- Total energy: -6.03 eV/atom
- Energy above the lowest structure with this stoichiometry: 141 meV/atom
- Energy relative to the elements, uncorrected: -0.536 eV/atom

## SrLiAlAg3 (PBE)

Data for a relaxed structure of SrLiAlAg3.

abc: 6.499 12.709 6.293
angles: 90.00 90.00 90.00
Space group Cmcm (No. 63)
One atom of each set of equivalent atoms:
Sr: 0.000 0.210 0.250 (multiplicity 4)
Li: 0.000 0.440 0.250 (multiplicity 4)
Al: 0.000 0.134 0.750 (multiplicity 4)
Ag: 0.000 0.346 0.750 (multiplicity 4)
Ag: 0.218 0.000 0.000 (multiplicity 8)

- Total energy: -2.78 eV/atom

## In2Ga2I5 (PBE)

Data for a relaxed structure of In2Ga2I5.

abc: 18.437 8.579 8.899
angles: 90.00 90.00 90.00
Space group Ima2 (No. 46)
One atom of each set of equivalent atoms:
In: 0.000 0.000 0.000 (multiplicity 4)
In: 0.250 0.035 0.172 (multiplicity 4)
Ga: 0.094 0.526 0.071 (multiplicity 8)
I: 0.061 0.205 0.255 (multiplicity 8)
I: 0.144 0.654 0.402 (multiplicity 8)
I: 0.250 0.096 0.549 (multiplicity 4)

- Total energy: -2.49 eV/atom
- Energy above the lowest structure with this stoichiometry: 2 meV/atom
- Energy relative to the elements, uncorrected: -0.349 eV/atom

## Y2Tm3Si4 (PBE)

Data for a relaxed structure of Y2Tm3Si4.

abc: 7.594 7.637 7.311
angles: 90.00 107.15 90.00
Space group P2_1/c (No. 14)
One atom of each set of equivalent atoms:
Y: 0.197 0.179 0.081 (multiplicity 4)
Tm: 0.245 0.681 0.252 (multiplicity 4)
Tm: 0.500 0.000 0.500 (multiplicity 2)
Si: 0.079 0.531 0.871 (multiplicity 4)
Si: 0.489 0.121 0.875 (multiplicity 4)

- Total energy: -6.11 eV/atom
- Energy relative to the elements, uncorrected: -0.776 eV/atom

## AcPuAgIr (PBE)

Data for a relaxed structure of AcPuAgIr.

abc: 7.359 7.359 7.359
angles: 90.00 90.00 90.00
Space group F-43m (No. 216)
One atom of each set of equivalent atoms:
Ac: 0.000 0.000 0.000 (multiplicity 4)
Pu: 0.000 0.000 0.500 (multiplicity 4)
Ag: 0.250 0.250 0.250 (multiplicity 4)
Ir: 0.250 0.250 0.750 (multiplicity 4)

- Total energy: -7.75 eV/atom

## CdBr4 (PBE)

Data for a relaxed structure of CdBr4.

abc: 6.544 6.544 8.608
angles: 90.00 90.00 90.00
Space group I4/mmm (No. 139)
One atom of each set of equivalent atoms:
Cd: 0.000 0.000 0.000 (multiplicity 2)
Br: 0.000 0.000 0.286 (multiplicity 4)
Br: 0.000 0.500 0.250 (multiplicity 4)

- Total energy: -1.53 eV/atom
- Energy relative to the elements, uncorrected: -0.009 eV/atom

## Re2HS (PBE)

Data for a relaxed structure of Re2HS.

abc: 5.671 5.671 5.671
angles: 90.00 90.00 90.00
Space group Fm-3m (No. 225)
One atom of each set of equivalent atoms:
Re: 0.250 0.250 0.250 (multiplicity 8)
H: 0.000 0.000 0.000 (multiplicity 4)
S: 0.000 0.000 0.500 (multiplicity 4)

- Total energy: -7.27 eV/atom
- Energy above the lowest structure with this stoichiometry: 314 meV/atom

## U2GaNi12P3 (PBE)

Data for a relaxed structure of U2GaNi12P3.

abc: 7.4075 7.4075 16.6269
angles: 90.00 90.00 120.00
Space group R-3m (No. 166, hexagonal axes)
One atom of each set of equivalent atoms:
U: 0.0000 0.0000 0.1121 (multiplicity 6)
Ga: 0.0000 0.0000 0.5000 (multiplicity 3)
Ni: 0.0170 0.5085 0.3701 (multiplicity 18)
Ni: 0.0256 0.5128 0.8678 (multiplicity 18)
P: 0.0000 0.5000 0.0000 (multiplicity 9)

- Total energy: -6.21 eV/atom

## Mg2Tc (PBE)

Data for a relaxed structure of Mg2Tc.

abc: 3.084 3.084 11.894
angles: 90.00 90.00 90.00
Space group P4/nmm (No. 129, origin choice 2)
One atom of each set of equivalent atoms:
Mg: 0.250 0.250 0.095 (multiplicity 2)
Mg: 0.250 0.250 0.711 (multiplicity 2)
Tc: 0.250 0.250 0.443 (multiplicity 2)

- Total energy: -4.51 eV/atom
- Energy above the lowest structure with this stoichiometry: 0 meV/atom

## CaBi2TePb (PBE)

Data for a relaxed structure of CaBi2TePb.

abc: 5.942 5.942 5.906
angles: 90.00 90.00 90.00
Space group P4/mmm (No. 123)
One atom of each set of equivalent atoms:
Ca: 0.000 0.000 0.000 (multiplicity 1)
Bi: 0.000 0.500 0.500 (multiplicity 2)
Te: 0.500 0.500 0.500 (multiplicity 1)
Pb: 0.500 0.500 0.000 (multiplicity 1)

- Total energy: -3.06 eV/atom
- Energy relative to the elements, uncorrected: 0.265 eV/atom

## MnCoSb2I (PBE)

Data for a relaxed structure of MnCoSb2I.

abc: 4.818 4.818 5.673
angles: 90.00 90.00 90.00
Space group P4/mmm (No. 123)
One atom of each set of equivalent atoms:
Mn: 0.000 0.000 0.000 (multiplicity 1)
Co: 0.500 0.500 0.500 (multiplicity 1)
Sb: 0.000 0.500 0.000 (multiplicity 2)
I: 0.000 0.000 0.500 (multiplicity 1)

- Total energy: -4.25 eV/atom
- Energy above the lowest structure with this stoichiometry: 327 meV/atom
- Energy relative to the elements, uncorrected: 0.962 eV/atom

## Zr2InGa (PBE)

Data for a relaxed structure of Zr2InGa.

abc: 4.396 4.396 4.267
angles: 90.00 90.00 90.00
Space group P4/mmm (No. 123)
One atom of each set of equivalent atoms:
Zr: 0.000 0.500 0.000 (multiplicity 2)
In: 0.000 0.000 0.500 (multiplicity 1)
Ga: 0.500 0.500 0.500 (multiplicity 1)

- Total energy: -6.11 eV/atom
- Energy above the lowest structure with this stoichiometry: 43 meV/atom